Entry 1:
VASP calculation (PBE) on crystalline CaMn3V at its relaxed geometry.

Lattice parameters (Å, degrees): 4.643 4.643 4.643 90.00 90.00 90.00
Space group Pm-3m (No. 221)
Inequivalent atoms, fractional coordinates:
Ca: 0.000 0.000 0.000
Mn: 0.000 0.000 0.500
V: 0.500 0.500 0.500

Calculated values
For the size of the total moment, the calculation gives 7.017 μB/f.u. Its energy of formation from the pure elements is 1.916 eV/atom. The calculation puts the energy relative to the lowest polymorph listed for this composition at 1.284 eV per atom. The value obtained for the mass density is 4.24 g/cm3.

Entry 2:
VASP calculation (PBE) on crystalline NdMgScPa at its relaxed geometry.

Lattice parameters (Å, degrees): 7.502 7.502 7.502 90.00 90.00 90.00
Space group F-43m (No. 216)
Inequivalent atoms, fractional coordinates:
Nd: 0.000 0.000 0.000
Mg: 0.250 0.250 0.750
Sc: 0.000 0.000 0.500
Pa: 0.250 0.250 0.250

Calculated values
For the size of the total moment, the calculation gives 0.001 μB/f.u. Its energy of formation from the pure elements is 0.341 eV/atom. The value obtained for the mass density is 6.99 g/cm3.

Entry 3:
VASP calculation (PBE) on crystalline Si2SnRhN at its relaxed geometry.

Lattice parameters (Å, degrees): 14.078 2.973 3.845 90.00 98.52 90.00
Space group Cm (No. 8)
Inequivalent atoms, fractional coordinates:
Si: 0.000 0.000 0.000
Si: 0.130 0.500 0.692
Sn: 0.343 0.500 0.321
Rh: 0.172 0.000 0.229
N: 0.002 0.500 0.740

Calculated values
For the size of the total moment, the calculation gives 0.000 μB/f.u. The raw formation energy comes out at -0.272 eV/atom. The calculation puts the energy relative to the lowest polymorph listed for this composition at 0.104 eV per atom. The value obtained for the mass density is 6.09 g/cm3.

Entry 4:
VASP calculation (PBE) on crystalline KLuSb2 at its relaxed geometry.

Lattice parameters (Å, degrees): 3.9540 3.9540 28.7123 90.00 90.00 120.00
Space group R-3m (No. 166, hexagonal axes)
Inequivalent atoms, fractional coordinates:
K: 0.0000 0.0000 0.0000
Lu: 0.0000 0.0000 0.5000
Sb: 0.0000 0.0000 0.2392

Calculated values
For the size of the total moment, the calculation gives 0.000 μB/f.u. The raw formation energy comes out at -0.477 eV/atom. The calculation puts the energy relative to the lowest polymorph listed for this composition at 0.086 eV per atom. The value obtained for the mass density is 5.86 g/cm3.